(1)
# Pm2Ho2Er5

An optimized crystal structure of Pm2Ho2Er5 (PBE, Alexandria via LeMat-Bulk).

abc: 11.682 6.704 10.028
angles: 109.53 125.62 90.00
Element x y z (fractional)
Pm  0.122  0.685  0.254
Pm  0.878  0.431  0.746
Pm  0.632  0.185  0.254
Pm  0.368  0.931  0.746
Ho  0.000  0.009  0.000
Ho  0.500  0.509  0.000
Ho  0.263  0.360  0.500
Ho  0.737  0.860  0.500
Er  0.204  0.655  0.894
Er  0.796  0.761  0.106
Er  0.190  0.155  0.894
Er  0.810  0.261  0.106
Er  0.379  0.031  0.286
Er  0.621  0.745  0.714
Er  0.406  0.531  0.286
Er  0.594  0.245  0.714
Er  0.000  0.659  0.500
Er  0.000  0.159  0.500

Results
D(E_F) in states/eV per cell: 30.4
E_form in eV per atom: 0.22

=====

(2)
# HfTl2S2Cl2

An optimized crystal structure of HfTl2S2Cl2 (PBE, Alexandria via LeMat-Bulk).

abc: 5.039 5.039 8.938
angles: 106.37 106.37 90.00
Element x y z (fractional)
Hf  0.000  0.000  0.000
Tl  0.374  0.374  0.747
Tl  0.626  0.626  0.253
S  0.000  0.500  0.000
S  0.500  0.000  0.000
Cl  0.153  0.153  0.306
Cl  0.847  0.847  0.694

Results
E_form (uncorrected) in eV/f.u.: -8.52

=====

| no. | total energy (Ry per atom) |
| --- | --- |
| 1 | -0.32260 |
| 2 | -0.36915 |